1.
Here is a PBEsol-optimized structure of CaHfB2 from the Alexandria database. Energies are from meta-GGA SCAN.

ΔE_f: 3.1 eV/f.u.
ρ: 4.94 g/cm3
Fermi-level density of states: 3.29 states/eV per cell
volume: 20.179 Å³ per atom
ΔE to the lowest computed polymorph: 249.6 meV/atom

Lattice parameters (Å, degrees): 4.770 4.770 7.856 107.67 107.67 90.00
Atoms (fractional coordinates):
Ca  0.750  0.250  0.500
Ca  0.500  0.500  0.000
B  0.279  0.875  0.250
B  0.971  0.375  0.250
B  0.125  0.029  0.750
B  0.625  0.721  0.750
Hf  0.250  0.750  0.500
Hf  0.000  0.000  0.000

2.
Here is a PBEsol-optimized structure of SrAsRu2 from the Alexandria database. Energies are from meta-GGA SCAN.

ΔE_f: 2.1 eV/f.u.
ρ: 8.72 g/cm3
Fermi-level density of states: 3.36 states/eV per cell
volume: 17.370 Å³ per atom

Lattice parameters (Å, degrees): 4.204 4.204 4.928 115.25 115.25 90.00
Each line ends with the local moment (μB).
Atoms (fractional coordinates):
Ru  0.000  0.000  0.000  0.91
Ru  0.750  0.250  0.500  1.34
As  0.250  0.750  0.500  -0.05
Sr  0.500  0.500  0.000  0.01

3.
Here is a PBEsol-optimized structure of Ru2PtW from the Alexandria database. Energies are from meta-GGA SCAN.

ΔE_f: -0.9 eV/f.u.
ρ: 17.05 g/cm3
Fermi-level density of states: 1.43 states/eV per cell
volume: 14.151 Å³ per atom
ΔE to the lowest computed polymorph: 0.0 meV/atom

Lattice parameters (Å, degrees): 3.764 3.878 3.878 90.00 90.00 90.00
Atoms (fractional coordinates):
Ru  0.000  0.000  0.500
Ru  0.000  0.500  0.000
Pt  0.500  0.000  0.000
W  0.500  0.500  0.500

4.
Here is a PBEsol-optimized structure of RhAu2F2 from the Alexandria database. Energies are from meta-GGA SCAN.

ρ: 11.39 g/cm3
Fermi-level density of states: 3.51 states/eV per cell
volume: 15.593 Å³ per atom
energy relative to the elements, uncorrected: 0.170 eV per atom

Lattice parameters (Å, degrees): 3.664 3.664 6.358 106.75 106.75 90.00
Each line ends with the local moment (μB).
Atoms (fractional coordinates):
Rh  0.000  0.000  0.000  2.08
Au  0.250  0.750  0.500  0.02
Au  0.750  0.250  0.500  0.02
F  0.405  0.405  0.810  0.07
F  0.595  0.595  0.190  0.07

5.
Here is a PBEsol-optimized structure of NiAgIr4 from the Alexandria database. Energies are from meta-GGA SCAN.

ΔE_f: 3.6 eV/f.u.
ρ: 16.57 g/cm3
Fermi-level density of states: 6.87 states/eV per cell
volume: 15.628 Å³ per atom

Lattice parameters (Å, degrees): 5.099 5.099 5.099 60.00 60.00 60.00
Each line ends with the local moment (μB).
Atoms (fractional coordinates):
Ag  0.000  0.000  0.000  0.02
Ir  0.874  0.375  0.375  0.62
Ir  0.375  0.375  0.375  0.62
Ir  0.375  0.375  0.874  0.62
Ir  0.375  0.874  0.375  0.62
Ni  0.750  0.750  0.750  1.36

6.
Here is a PBEsol-optimized structure of Mn2Co from the Alexandria database. Energies are from meta-GGA SCAN.

ΔE_f: 0.0 eV/f.u.
ρ: 9.15 g/cm3
Fermi-level density of states: 4.95 states/eV per cell
volume: 10.212 Å³ per atom

Lattice parameters (Å, degrees): 3.460 3.451 5.415 90.00 108.63 90.00
Each line ends with the local moment (μB).
Atoms (fractional coordinates):
Mn  0.086  0.250  0.173  2.79
Mn  0.914  0.750  0.827  2.79
Mn  0.751  0.250  0.501  -2.42
Mn  0.249  0.750  0.499  -2.42
Co  0.417  0.250  0.834  0.19
Co  0.583  0.750  0.166  0.19